Record 1
## CoCuHSe2 (GGA-PBE)

Data for CoCuHSe2 after structural relaxation.

Lattice parameters (Å, degrees): 4.847 4.847 3.082 90.00 90.00 90.00
Element x y z (fractional)
Co1 0.000 0.000 0.000
Cu1 0.500 0.500 0.500
H1 0.500 0.500 0.000
Se1 0.000 0.500 0.500
Se2 0.500 0.000 0.500

Output
DFT total energy ... -3.91 eV per atom


Record 2
## PrErLu4 (GGA-PBE)

Data for PrErLu4 after structural relaxation.

Lattice parameters (Å, degrees): 6.526 6.526 6.526 60.00 60.00 60.00
Element x y z (fractional)
Pr1 0.000 0.000 0.000
Er1 0.250 0.250 0.250
Lu1 0.126 0.624 0.624
Lu2 0.624 0.126 0.624
Lu3 0.624 0.624 0.126
Lu4 0.624 0.624 0.624

Output
Formation energy from the elements ... 0.28 eV/atom
DFT total energy ... -4.29 eV per atom